No. 1
This record from the Alexandria database describes an optimized crystal structure of SiTeBr. The functional is PBE.

Unit cell a=4.182 b=7.059 c=7.805 alpha=75.84 beta=90.00 gamma=72.76
Fractional coordinates of all 6 atoms:
Br (0.944, 0.557, 0.248)
Si (0.831, 0.785, 0.977)
Te (0.663, 0.115, 0.077)
Br (0.247, 0.952, 0.575)
Te (0.524, 0.393, 0.745)
Si (0.362, 0.723, 0.845)

Values from the calculation:
The value obtained for the relative energy among the computed polymorphs is 0.0 meV per atom. The value obtained for the total energy is -3.6428 eV/atom. For the uncorrected formation energy, the calculation gives -230 meV/atom.

No. 2
This record from the Alexandria database describes an optimized crystal structure of SiTeBr. The functional is PBE.

Unit cell a=3.606 b=7.138 c=8.220 alpha=86.82 beta=77.33 gamma=75.37
Fractional coordinates of all 6 atoms:
Te (0.464, 0.789, 0.282)
Br (0.737, 0.719, 0.808)
Te (0.536, 0.211, 0.718)
Br (0.263, 0.281, 0.192)
Si (0.924, 0.000, 0.152)
Si (0.076, 0.000, 0.848)

Values from the calculation:
The value obtained for the relative energy among the computed polymorphs is 191.3 meV per atom. The value obtained for the total energy is -3.4515 eV/atom. For the uncorrected formation energy, the calculation gives -39 meV/atom.

No. 3
This record from the Alexandria database describes an optimized crystal structure of Si2TeBr. The functional is PBE.

Unit cell a=7.773 b=7.773 c=4.428 alpha=76.96 beta=76.96 gamma=27.31
Fractional coordinates of all 4 atoms:
Si (0.658, 0.658, 0.992)
Br (0.262, 0.262, 0.180)
Te (0.515, 0.515, 0.475)
Si (0.065, 0.065, 0.853)

Values from the calculation:
The value obtained for the relative energy among the computed polymorphs is 273.5 meV per atom. The value obtained for the total energy is -3.6995 eV/atom. For the uncorrected formation energy, the calculation gives 216 meV/atom.

No. 4
This record from the Alexandria database describes an optimized crystal structure of Si2TeBr. The functional is PBE.

Unit cell a=3.584 b=3.584 c=7.273 alpha=90.00 beta=90.00 gamma=90.00
Fractional coordinates of all 4 atoms:
Si (0.000, 0.000, 0.030)
Si (0.000, 0.000, 0.470)
Te (0.500, 0.500, 0.250)
Br (0.500, 0.500, 0.750)

Values from the calculation:
The value obtained for the relative energy among the computed polymorphs is 552.9 meV per atom. The value obtained for the total energy is -3.4201 eV/atom. For the uncorrected formation energy, the calculation gives 495 meV/atom.

No. 5
This record from the Alexandria database describes an optimized crystal structure of Si2TeBr. The functional is PBE.

Unit cell a=7.787 b=7.787 c=7.787 alpha=29.24 beta=29.24 gamma=29.24
Fractional coordinates of all 4 atoms:
Si (0.995, 0.995, 0.995)
Si (0.505, 0.505, 0.505)
Br (0.750, 0.750, 0.750)
Te (0.250, 0.250, 0.250)

Values from the calculation:
The value obtained for the relative energy among the computed polymorphs is 452.1 meV per atom. The value obtained for the total energy is -3.5209 eV/atom. For the uncorrected formation energy, the calculation gives 394 meV/atom.

No. 6
This record from the Alexandria database describes an optimized crystal structure of Si2TeBr. The functional is PBE.

Unit cell a=5.011 b=5.011 c=3.599 alpha=90.00 beta=90.00 gamma=89.94
Fractional coordinates of all 4 atoms:
Si (0.500, 0.500, 0.000)
Te (0.500, 0.000, 0.500)
Si (0.000, 0.000, 0.000)
Br (0.000, 0.500, 0.500)

Values from the calculation:
The value obtained for the relative energy among the computed polymorphs is 635.2 meV per atom. The value obtained for the total energy is -3.3378 eV/atom. For the uncorrected formation energy, the calculation gives 577 meV/atom.

No. 7
This record from the Alexandria database describes an optimized crystal structure of SiTe2Br. The functional is PBE.

Unit cell a=6.130 b=6.130 c=6.130 alpha=145.36 beta=107.98 gamma=82.45
Fractional coordinates of all 4 atoms:
Br (0.458, 0.458, 0.000)
Si (0.246, 0.746, 0.500)
Te (0.027, 0.027, 0.000)
Te (0.769, 0.269, 0.500)

Values from the calculation:
The value obtained for the relative energy among the computed polymorphs is 364.0 meV per atom. The value obtained for the total energy is -2.9964 eV/atom. For the uncorrected formation energy, the calculation gives 348 meV/atom.

No. 8
This record from the Alexandria database describes an optimized crystal structure of SiTe2Br. The functional is PBE.

Unit cell a=4.860 b=4.860 c=8.953 alpha=97.96 beta=97.96 gamma=44.84
Fractional coordinates of all 4 atoms:
Br (0.502, 0.502, 0.423)
Te (0.718, 0.718, 0.819)
Si (0.325, 0.325, 0.207)
Te (0.955, 0.955, 0.051)

Values from the calculation:
The value obtained for the relative energy among the computed polymorphs is 75.0 meV per atom. The value obtained for the total energy is -3.2855 eV/atom. For the uncorrected formation energy, the calculation gives 59 meV/atom.

No. 9
This record from the Alexandria database describes an optimized crystal structure of SiTe3Br. The functional is PBE.

Unit cell a=5.547 b=5.547 c=5.547 alpha=90.00 beta=90.00 gamma=90.00
Fractional coordinates of all 5 atoms:
Si (0.500, 0.500, 0.500)
Te (0.500, 0.000, 0.000)
Br (0.000, 0.000, 0.000)
Te (0.000, 0.000, 0.500)
Te (0.000, 0.500, 0.000)

Values from the calculation:
The value obtained for the relative energy among the computed polymorphs is 1097.7 meV per atom. The value obtained for the total energy is -2.2113 eV/atom. For the uncorrected formation energy, the calculation gives 1093 meV/atom.

No. 10
This record from the Alexandria database describes an optimized crystal structure of Si2TeBr. The functional is PBE.

Unit cell a=5.016 b=5.016 c=5.016 alpha=60.00 beta=60.00 gamma=60.00
Fractional coordinates of all 4 atoms:
Si (0.750, 0.750, 0.750)
Br (0.000, 0.000, 0.000)
Te (0.500, 0.500, 0.500)
Si (0.250, 0.250, 0.250)

Values from the calculation:
The value obtained for the relative energy among the computed polymorphs is 570.3 meV per atom. The value obtained for the total energy is -3.4028 eV/atom. For the uncorrected formation energy, the calculation gives 512 meV/atom.

No. 11
This record from the Alexandria database describes an optimized crystal structure of SiTe2Br. The functional is PBE.

Unit cell a=5.179 b=5.179 c=5.179 alpha=60.00 beta=60.00 gamma=60.00
Fractional coordinates of all 4 atoms:
Br (0.500, 0.500, 0.500)
Te (0.750, 0.750, 0.750)
Te (0.250, 0.250, 0.250)
Si (0.000, 0.000, 0.000)

Values from the calculation:
The value obtained for the relative energy among the computed polymorphs is 536.1 meV per atom. The value obtained for the total energy is -2.8244 eV/atom. For the uncorrected formation energy, the calculation gives 520 meV/atom.

No. 12
This record from the Alexandria database describes an optimized crystal structure of SiTeBr3. The functional is PBE.

Unit cell a=5.679 b=5.679 c=5.679 alpha=90.00 beta=90.00 gamma=90.00
Site moments in Bohr magnetons follow the coordinates.
Fractional coordinates of all 5 atoms:
Br (0.000, 0.500, 0.000)  0.00
Si (0.500, 0.500, 0.500)  0.42
Br (0.500, 0.000, 0.000)  -0.01
Br (0.000, 0.000, 0.500)  -0.02
Te (0.000, 0.000, 0.000)  0.01

Values from the calculation:
The value obtained for the relative energy among the computed polymorphs is 396.1 meV per atom. The value obtained for the total energy is -2.1871 eV/atom. For the uncorrected formation energy, the calculation gives 530 meV/atom.

What is the formula in the seventh record?
SiTe2Br

Which value of relative energy among the computed polymorphs does entry 3 give?
273.5 meV per atom

Copy entry 12 word for word.
This record from the Alexandria database describes an optimized crystal structure of SiTeBr3. The functional is PBE.

Unit cell a=5.679 b=5.679 c=5.679 alpha=90.00 beta=90.00 gamma=90.00
Site moments in Bohr magnetons follow the coordinates.
Fractional coordinates of all 5 atoms:
Br (0.000, 0.500, 0.000)  0.00
Si (0.500, 0.500, 0.500)  0.42
Br (0.500, 0.000, 0.000)  -0.01
Br (0.000, 0.000, 0.500)  -0.02
Te (0.000, 0.000, 0.000)  0.01

Values from the calculation:
The value obtained for the relative energy among the computed polymorphs is 396.1 meV per atom. The value obtained for the total energy is -2.1871 eV/atom. For the uncorrected formation energy, the calculation gives 530 meV/atom.

Which of these has the highest relative energy among the computed polymorphs?
SiTe3Br